First-principles (PBE) data for an optimized crystal structure of K2Zr2ZnH12O6F12, as listed in Alexandria via LeMat-Bulk.

abc: 6.7141 10.1050 13.1222
angles: 90.00 113.69 90.00
Positions (direct):
K (0.1162, 0.2193, 0.0841)
K (0.1162, 0.2807, 0.5841)
K (0.8838, 0.7193, 0.4159)
K (0.8838, 0.7807, 0.9159)
Zr (0.3132, 0.0129, 0.8531)
Zr (0.3132, 0.4871, 0.3531)
Zr (0.6868, 0.5129, 0.6469)
Zr (0.6868, 0.9871, 0.1469)
Zn (0.5000, 0.0000, 0.5000)
Zn (0.5000, 0.5000, 0.0000)
H (0.0839, 0.0629, 0.3829)
H (0.0839, 0.4371, 0.8829)
H (0.2330, 0.1824, 0.3769)
H (0.2330, 0.3176, 0.8769)
H (0.2652, 0.5779, 0.1107)
H (0.2652, 0.9221, 0.6107)
H (0.3097, 0.6907, 0.8367)
H (0.3097, 0.8093, 0.3367)
H (0.3878, 0.5685, 0.7835)
H (0.3878, 0.9315, 0.2835)
H (0.4218, 0.6963, 0.1115)
H (0.4218, 0.8037, 0.6115)
H (0.5782, 0.1963, 0.3885)
H (0.5782, 0.3037, 0.8885)
H (0.6122, 0.0685, 0.7165)
H (0.6122, 0.4315, 0.2165)
H (0.6903, 0.1907, 0.6633)
H (0.6903, 0.3093, 0.1633)
H (0.7348, 0.0779, 0.3893)
H (0.7348, 0.4221, 0.8893)
H (0.7670, 0.6824, 0.1231)
H (0.7670, 0.8176, 0.6231)
H (0.9161, 0.5629, 0.1171)
H (0.9161, 0.9371, 0.6171)
O (0.2142, 0.1161, 0.4282)
O (0.2142, 0.3839, 0.9282)
O (0.3186, 0.6302, 0.0630)
O (0.3186, 0.8698, 0.5630)
O (0.4146, 0.6164, 0.8534)
O (0.4146, 0.8836, 0.3534)
O (0.5854, 0.1164, 0.6466)
O (0.5854, 0.3836, 0.1466)
O (0.6814, 0.1302, 0.4370)
O (0.6814, 0.3698, 0.9370)
O (0.7858, 0.6161, 0.0718)
O (0.7858, 0.8839, 0.5718)
F (0.0751, 0.0644, 0.9012)
F (0.0751, 0.4356, 0.4012)
F (0.1434, 0.0218, 0.6777)
F (0.1434, 0.4782, 0.1777)
F (0.1607, 0.6691, 0.3098)
F (0.1607, 0.8309, 0.8098)
F (0.3338, 0.2123, 0.8107)
F (0.3338, 0.2877, 0.3107)
F (0.4202, 0.0289, 0.1804)
F (0.4202, 0.4711, 0.6804)
F (0.4716, 0.6162, 0.4952)
F (0.4716, 0.8838, 0.9952)
F (0.5284, 0.1162, 0.0048)
F (0.5284, 0.3838, 0.5048)
F (0.5798, 0.5289, 0.3196)
F (0.5798, 0.9711, 0.8196)
F (0.6662, 0.7123, 0.6893)
F (0.6662, 0.7877, 0.1893)
F (0.8393, 0.1691, 0.1902)
F (0.8393, 0.3309, 0.6902)
F (0.8566, 0.5218, 0.8223)
F (0.8566, 0.9782, 0.3223)
F (0.9249, 0.5644, 0.5988)
F (0.9249, 0.9356, 0.0988)

Calculated values
Calculated total energy in eV/atom: -5.389